No. 1
Computed, not measured: a geometry-optimized LaTb4PrHo2 structure at the PBE level of DFT.

The structure belongs to space group C2/m (No. 12); the cell edges are 12.443, 7.193 and 12.451 Å and the angles 90.00°, 109.42° and 90.00°. The distinct sites, in fractional coordinates, are La at (0.250, 0.250, 0.000), Tb at (0.001, 0.249, 0.253), Tb at (0.248, 0.000, 0.746), Tb at (0.249, 0.500, 0.747), Pr at (0.000, 0.500, 0.000), Pr at (0.000, 0.500, 0.500), Ho at (0.000, 0.000, 0.000), Ho at (0.000, 0.000, 0.500) and Ho at (0.250, 0.250, 0.500).

The formation energy is 18 meV/atom. Its density of states at the Fermi level is 43.5 states/eV per cell. The total energy is -148.96 eV for the cell shown. The magnetic moment is 0.000 μB/atom.



No. 2
Computed, not measured: a geometry-optimized Nd6Dy5Er structure at the PBE level of DFT.

The structure belongs to space group Immm (No. 71); the cell edges are 5.124, 10.136 and 15.333 Å and the angles 90.00°, 90.00° and 90.00°. The distinct sites, in fractional coordinates, are Nd at (0.000, 0.249, 0.000), Nd at (0.000, 0.250, 0.333), Dy at (0.000, 0.000, 0.167), Dy at (0.000, 0.000, 0.500), Dy at (0.000, 0.500, 0.166) and Er at (0.000, 0.500, 0.500).

The formation energy is 16 meV/atom. Its density of states at the Fermi level is 31.5 states/eV per cell. The total energy is -111.98 eV for the cell shown. The magnetic moment is 0.000 μB/atom.



No. 3
Computed, not measured: a geometry-optimized Zr2BeGeSe structure at the PBE level of DFT.

The structure belongs to space group P4/mmm (No. 123); the cell edges are 5.071, 5.071 and 4.903 Å and the angles 90.00°, 90.00° and 90.00°. The distinct sites, in fractional coordinates, are Zr at (0.000, 0.500, 0.000), Be at (0.000, 0.000, 0.500), Ge at (0.500, 0.500, 0.000) and Se at (0.500, 0.500, 0.500).

As for the formation energy without anion corrections: 4.2 eV/f.u. Its density of states at the Fermi level is 4.9 states/eV per cell. The total energy is -24.72 eV for the cell shown. The magnetic moment is 0.000 μB/atom.



No. 4
Computed, not measured: a geometry-optimized Cr2CoP structure at the PBE level of DFT.

The structure belongs to space group Cmm2 (No. 35); the cell edges are 3.142, 4.063 and 7.105 Å and the angles 90.00°, 90.00° and 90.00°. The distinct sites, in fractional coordinates, are Cr at (0.000, 0.000, 0.000), Cr at (0.000, 0.500, 0.266), Co at (0.000, 0.500, 0.727) and P at (0.000, 0.000, 0.514).

The formation energy is 66 meV/atom. Its density of states at the Fermi level is 8.8 states/eV per cell. The total energy is -62.99 eV for the cell shown. The magnetic moment is 0.000 μB/atom.



No. 5
Computed, not measured: a geometry-optimized Tb2Pr2Er structure at the PBE level of DFT.

The structure belongs to space group C2/c (No. 15); the cell edges are 15.965, 6.365 and 6.846 Å and the angles 90.00°, 104.19° and 90.00°. The distinct sites, in fractional coordinates, are Tb at (0.097, 0.084, 0.452), Pr at (0.198, 0.413, 0.152) and Er at (0.000, 0.415, 0.750).

The formation energy is 24 meV/atom. The excess energy over the best structure of this formula in the dataset comes out at 0 meV/atom. Its density of states at the Fermi level is 34.5 states/eV per cell. The total energy is -93.05 eV for the cell shown. The magnetic moment is 0.000 μB/atom.



No. 6
Computed, not measured: a geometry-optimized Hg2TePt structure at the PBE level of DFT.

The structure belongs to space group Imm2 (No. 44); the cell edges are 3.406, 6.600 and 9.534 Å and the angles 90.00°, 90.00° and 90.00°. The distinct sites, in fractional coordinates, are Hg at (0.000, 0.000, 0.000), Hg at (0.000, 0.500, 0.233), Te at (0.000, 0.500, 0.804) and Pt at (0.000, 0.000, 0.506).

As for the formation energy without anion corrections: 0.4 eV/f.u. Its density of states at the Fermi level is 4.2 states/eV per cell. The total energy is -18.71 eV for the cell shown. The magnetic moment is 0.000 μB/atom.